No. 1
ZrPbO3 PBE optimized geometry; formation energy from raw total energies = -12.1 eV per formula unit
1.0
5.927 0.000 0.000
0.000 8.354 0.000
0.000 0.000 5.893
Zr Pb O
4 4 12
Direct
0.000 0.000 0.000
0.000 0.500 0.000
0.500 0.000 0.500
0.500 0.500 0.500
0.020 0.250 0.494
0.480 0.750 0.994
0.520 0.250 0.006
0.980 0.750 0.506
0.013 0.750 0.072
0.214 0.538 0.714
0.214 0.962 0.714
0.286 0.038 0.214
0.286 0.462 0.214
0.487 0.250 0.572
0.513 0.750 0.428
0.714 0.538 0.786
0.714 0.962 0.786
0.786 0.038 0.286
0.786 0.462 0.286
0.987 0.250 0.928

No. 2
Zr4Pb2O PBE optimized geometry; formation energy from raw total energies = -5.4 eV per formula unit
1.0
4.393 0.000 0.000
0.000 4.393 0.000
0.000 0.000 15.561
Zr Pb O
8 4 2
Direct
0.000 0.000 0.159
0.000 0.000 0.841
0.000 0.500 0.000
0.000 0.500 0.500
0.500 0.000 0.000
0.500 0.000 0.500
0.500 0.500 0.341
0.500 0.500 0.659
0.000 0.000 0.351
0.000 0.000 0.649
0.500 0.500 0.149
0.500 0.500 0.851
0.000 0.000 0.000
0.500 0.500 0.500

No. 3
Zr2PbO PBE optimized geometry; distance to the lowest polymorph of the same formula = 930 meV/atom; formation energy from raw total energies = -1.1 eV per formula unit
1.0
6.763 0.000 0.000
0.000 6.763 0.000
0.000 0.000 6.763
Zr Pb O
8 4 4
Direct
0.250 0.250 0.250
0.250 0.250 0.750
0.250 0.750 0.250
0.250 0.750 0.750
0.750 0.250 0.250
0.750 0.250 0.750
0.750 0.750 0.250
0.750 0.750 0.750
0.000 0.000 0.000
0.000 0.500 0.500
0.500 0.000 0.500
0.500 0.500 0.000
0.000 0.000 0.500
0.000 0.500 0.000
0.500 0.000 0.000
0.500 0.500 0.500

No. 4
ZrPbO2 PBE optimized geometry; formation energy from raw total energies = -7.9 eV per formula unit
1.0
5.918 0.000 0.000
0.000 5.918 0.000
0.000 0.000 9.983
Zr Pb O
4 4 8
Direct
0.000 0.000 0.000
0.000 0.500 0.250
0.500 0.000 0.750
0.500 0.500 0.500
0.000 0.000 0.500
0.000 0.500 0.750
0.500 0.000 0.250
0.500 0.500 0.000
0.079 0.250 0.125
0.250 0.579 0.375
0.250 0.921 0.875
0.421 0.250 0.625
0.579 0.750 0.625
0.750 0.079 0.875
0.750 0.421 0.375
0.921 0.750 0.125

No. 5
Zr2PbO PBE optimized geometry; distance to the lowest polymorph of the same formula = 14 meV/atom; formation energy from raw total energies = -4.8 eV per formula unit
1.0
3.263 0.000 0.000
-1.632 2.826 0.000
0.000 0.000 23.611
Zr Pb O
6 3 3
Direct
0.000 0.000 0.000
0.000 0.000 0.212
0.333 0.667 0.667
0.333 0.667 0.879
0.667 0.333 0.333
0.667 0.333 0.546
0.000 0.000 0.773
0.333 0.667 0.440
0.667 0.333 0.106
0.000 0.000 0.607
0.333 0.667 0.273
0.667 0.333 0.940

No. 6
ZrPbO2 PBE optimized geometry; formation energy from raw total energies = -8.9 eV per formula unit
1.0
3.313 0.000 0.000
-1.657 2.869 0.000
0.000 0.000 28.197
Zr Pb O
3 3 6
Direct
0.000 0.000 0.000
0.333 0.667 0.667
0.667 0.333 0.333
0.000 0.000 0.500
0.333 0.667 0.167
0.667 0.333 0.833
0.000 0.000 0.368
0.000 0.000 0.632
0.333 0.667 0.034
0.333 0.667 0.299
0.667 0.333 0.701
0.667 0.333 0.966

No. 7
ZrPbO3 PBE optimized geometry; formation energy from raw total energies = -12.0 eV per formula unit
1.0
7.170 0.000 0.000
0.000 5.647 0.000
-1.057 0.000 7.675
Zr Pb O
4 4 12
Direct
0.078 0.242 0.420
0.078 0.258 0.920
0.922 0.742 0.080
0.922 0.758 0.580
0.393 0.739 0.357
0.393 0.761 0.857
0.607 0.239 0.143
0.607 0.261 0.643
0.042 0.082 0.168
0.042 0.418 0.668
0.185 0.574 0.043
0.185 0.926 0.543
0.353 0.151 0.921
0.353 0.349 0.421
0.647 0.651 0.579
0.647 0.849 0.079
0.815 0.074 0.457
0.815 0.426 0.957
0.958 0.582 0.332
0.958 0.918 0.832

No. 8
ZrPbO3 PBE optimized geometry; formation energy from raw total energies = -12.1 eV per formula unit
1.0
2.817 1.626 6.473
-2.817 1.626 6.473
0.000 -3.253 6.473
Zr Pb O
2 2 6
Direct
0.165 0.165 0.165
0.835 0.835 0.835
0.386 0.386 0.386
0.614 0.614 0.614
0.078 0.802 0.444
0.198 0.556 0.922
0.444 0.078 0.802
0.556 0.922 0.198
0.802 0.444 0.078
0.922 0.198 0.556